# 1
## ReAuCl2 (PBEsol)

Data for a relaxed structure of ReAuCl2.

Energy above the most stable polymorph in this dataset: 0.0 meV per atom
E_form (uncorrected): 204.2 meV per atom
Crystal system: trigonal

Lattice parameters (Å, degrees): 2.834 2.834 11.233 82.75 82.75 60.00
Positions (direct):
Cl 0.933 0.933 0.200
Cl 0.067 0.067 0.800
Au 0.500 0.500 0.500
Re 0.000 0.000 0.000

---

# 2
## EuIn3 (PBEsol)

Data for a relaxed structure of EuIn3.

Energy relative to the elements: -0.456 eV per atom
Crystal system: cubic

Lattice parameters (Å, degrees): 4.627 4.627 4.627 90.00 90.00 90.00
Last column: magnetic moment on the atom in μB.
Positions (direct):
Eu 0.000 0.000 0.000  6.76
In 0.500 0.000 0.500  0.01
In 0.500 0.500 0.000  0.01
In 0.000 0.500 0.500  0.01

---

# 3
## BePAu2N (PBEsol)

Data for a relaxed structure of BePAu2N.

E_form (uncorrected): 1276.5 meV per atom
Crystal system: tetragonal

Lattice parameters (Å, degrees): 3.966 4.683 4.683 90.00 90.00 90.00
Last column: magnetic moment on the atom in μB.
Positions (direct):
N 0.500 0.500 0.500  1.38
Be 0.500 0.000 0.000  -0.02
Au 0.000 0.000 0.500  0.06
Au 0.000 0.500 0.000  0.06
P 0.000 0.000 0.000  0.03

---

# 4
## CaBe2Ir2 (PBEsol)

Data for a relaxed structure of CaBe2Ir2.

Energy relative to the elements: -0.342 eV per atom
Crystal system: tetragonal

Lattice parameters (Å, degrees): 2.872 6.778 6.778 90.00 90.00 90.00
Positions (direct):
Ir 0.500 0.654 0.846
Ir 0.500 0.846 0.346
Ir 0.500 0.154 0.654
Ir 0.500 0.346 0.154
Be 0.000 0.376 0.876
Be 0.000 0.624 0.124
Be 0.000 0.876 0.624
Be 0.000 0.124 0.376
Ca 0.000 0.500 0.500
Ca 0.000 0.000 0.000

---

# 5
## Ba3MoBr (PBEsol)

Data for a relaxed structure of Ba3MoBr.

E_form (uncorrected): 442.6 meV per atom
Crystal system: cubic

Lattice parameters (Å, degrees): 6.104 6.104 6.104 90.00 90.00 90.00
Last column: magnetic moment on the atom in μB.
Positions (direct):
Ba 0.000 0.000 0.500  -0.14
Ba 0.000 0.500 0.000  -0.14
Ba 0.500 0.000 0.000  -0.14
Mo 0.500 0.500 0.500  3.67
Br 0.000 0.000 0.000  -0.01

---

# 6
## SrV3P4O17 (PBEsol)

Data for a relaxed structure of SrV3P4O17.

E_form (uncorrected): -2382.7 meV per atom
Crystal system: orthorhombic

Lattice parameters (Å, degrees): 7.479 10.088 16.354 90.00 90.00 90.00
Last column: magnetic moment on the atom in μB.
Positions (direct):
O 0.783 0.998 0.789  0.00
O 0.499 0.332 0.143  -0.09
O 0.002 0.831 0.334  -0.09
O 0.261 0.137 0.116  0.00
O 0.774 0.078 0.560  0.00
O 0.739 0.637 0.384  0.00
O 0.274 0.422 0.440  0.00
O 0.262 0.644 0.386  0.00
O 0.316 0.836 0.902  0.01
O 0.001 0.777 0.978  -0.08
O 0.499 0.223 0.478  -0.08
O 0.284 0.615 0.542  0.02
O 0.001 0.126 0.276  0.00
O 0.502 0.669 0.666  -0.09
O 0.239 0.863 0.616  0.00
O 0.717 0.502 0.207  0.00
O 0.292 0.250 0.266  0.00
O 0.805 0.158 0.401  0.01
O 0.816 0.664 0.098  0.01
O 0.216 0.385 0.042  0.02
O 0.783 0.498 0.707  0.00
O 0.684 0.336 0.598  0.01
O 0.738 0.144 0.114  0.00
O 0.184 0.164 0.402  0.01
O 0.792 0.250 0.734  0.00
O 0.226 0.578 0.940  0.00
O 0.208 0.750 0.766  0.00
O 0.998 0.331 0.166  -0.09
O 0.717 0.614 0.540  0.01
O 0.238 0.356 0.886  0.00
O 0.501 0.832 0.357  -0.09
O 0.999 0.626 0.224  0.00
O 0.762 0.856 0.614  0.00
O 0.195 0.658 0.099  0.01
O 0.264 0.917 0.059  0.00
O 0.217 0.498 0.711  0.00
O 0.305 0.342 0.599  0.01
O 0.283 0.502 0.211  0.00
O 0.783 0.386 0.040  0.01
O 0.764 0.583 0.941  0.00
O 0.726 0.922 0.060  0.00
O 0.236 0.083 0.559  0.00
O 0.499 0.874 0.776  0.00
O 0.498 0.169 0.834  -0.09
O 0.998 0.062 0.030  0.00
O 0.714 0.252 0.264  0.00
O 0.501 0.723 0.022  -0.08
O 0.784 0.885 0.458  0.02
O 0.002 0.562 0.470  0.00
O 0.498 0.438 0.970  0.00
O 0.283 0.114 0.960  0.01
O 0.736 0.417 0.441  0.00
O 0.708 0.750 0.234  0.00
O 0.717 0.002 0.289  0.00
O 0.761 0.363 0.884  0.00
O 0.286 0.752 0.236  0.00
O 0.695 0.842 0.901  0.01
O 0.999 0.277 0.522  -0.08
O 0.716 0.115 0.958  0.02
O 0.217 0.886 0.460  0.01
O 0.001 0.668 0.643  -0.09
O 0.999 0.168 0.857  -0.09
O 0.214 0.248 0.736  0.00
O 0.786 0.748 0.764  0.00
O 0.217 0.998 0.793  0.00
O 0.502 0.938 0.530  0.00
O 0.501 0.374 0.724  0.00
O 0.283 0.002 0.293  0.00
P 0.208 0.060 0.039  0.01
P 0.802 0.637 0.188  0.01
P 0.792 0.560 0.461  0.01
P 0.199 0.635 0.190  0.01
P 0.212 0.563 0.462  0.01
P 0.302 0.863 0.812  0.01
P 0.288 0.437 0.962  0.01
P 0.801 0.135 0.310  0.01
P 0.788 0.063 0.038  0.01
P 0.292 0.940 0.539  0.01
P 0.712 0.937 0.538  0.01
P 0.198 0.137 0.312  0.01
P 0.708 0.440 0.961  0.01
P 0.699 0.865 0.810  0.01
P 0.698 0.363 0.688  0.01
P 0.301 0.365 0.690  0.01
V 0.287 0.248 0.497  0.94
V 0.282 0.323 0.151  1.02
V 0.218 0.677 0.651  1.02
V 0.281 0.175 0.847  1.01
V 0.787 0.252 0.503  0.94
V 0.713 0.748 0.003  0.94
V 0.213 0.752 0.997  0.94
V 0.718 0.823 0.349  1.02
V 0.219 0.825 0.347  1.01
V 0.719 0.675 0.653  1.01
V 0.782 0.177 0.849  1.02
V 0.781 0.325 0.153  1.01
Sr 0.006 0.064 0.678  0.00
Sr 0.994 0.564 0.822  0.00
Sr 0.506 0.436 0.322  0.00
Sr 0.494 0.936 0.178  0.00

---

# 7
## AlV12Ge3 (PBEsol)

Data for a relaxed structure of AlV12Ge3.

Energy relative to the elements: -0.316 eV per atom
Crystal system: orthorhombic

Lattice parameters (Å, degrees): 4.685 4.723 9.429 90.00 90.00 90.00
Positions (direct):
Ge 0.500 0.500 0.000
Ge 0.000 0.000 0.250
Ge 0.000 0.000 0.750
V 0.500 0.000 0.623
V 0.248 0.500 0.248
V 0.000 0.753 0.000
V 0.000 0.247 0.000
V 0.500 0.000 0.124
V 0.500 0.000 0.377
V 0.000 0.753 0.500
V 0.000 0.247 0.500
V 0.752 0.500 0.248
V 0.500 0.000 0.876
V 0.248 0.500 0.752
V 0.752 0.500 0.752
Al 0.500 0.500 0.500

---

# 8
## AgAu3 (PBEsol)

Data for a relaxed structure of AgAu3.

Energy above the most stable polymorph in this dataset: 17.8 meV per atom
Energy relative to the elements: -0.028 eV per atom
Crystal system: orthorhombic

Lattice parameters (Å, degrees): 2.851 4.945 5.559 116.41 104.86 90.00
Positions (direct):
Au 0.250 0.583 0.499
Au 0.750 0.084 0.501
Au 0.500 0.501 0.000
Ag 0.000 0.999 0.000

---

# 9
## Bi3SbH (PBEsol)

Data for a relaxed structure of Bi3SbH.

DFT total energy: -3.795 eV per atom
Crystal system: cubic

Lattice parameters (Å, degrees): 4.928 4.928 4.928 90.00 90.00 90.00
Positions (direct):
Bi 0.000 0.000 0.500
Bi 0.500 0.000 0.000
Bi 0.000 0.500 0.000
Sb 0.500 0.500 0.500
H 0.000 0.000 0.000

---

# 10
## MgZrSc (PBEsol)

Data for a relaxed structure of MgZrSc.

Energy above the most stable polymorph in this dataset: 781.4 meV per atom
Energy relative to the elements: 0.744 eV per atom
Crystal system: cubic

Lattice parameters (Å, degrees): 4.776 4.776 4.776 60.00 60.00 60.00
Positions (direct):
Mg 0.250 0.250 0.250
Sc 0.000 0.000 0.000
Zr 0.500 0.500 0.500

---

# 11
## CaAu2Se (PBEsol)

Data for a relaxed structure of CaAu2Se.

E_form (uncorrected): -673.5 meV per atom
Crystal system: tetragonal

Lattice parameters (Å, degrees): 3.968 3.968 5.807 109.98 109.98 90.00
Positions (direct):
Au 0.750 0.250 0.500
Au 0.250 0.750 0.500
Se 0.000 0.000 0.000
Ca 0.500 0.500 0.000

---

# 12
## Tl2ZnTe (PBEsol)

Data for a relaxed structure of Tl2ZnTe.

Energy above the most stable polymorph in this dataset: 89.9 meV per atom
E_form (uncorrected): 44.8 meV per atom
Crystal system: orthorhombic

Lattice parameters (Å, degrees): 5.060 5.450 5.450 64.18 62.34 62.34
Positions (direct):
Tl 0.767 0.233 0.233
Tl 0.233 0.767 0.767
Te 0.000 0.500 0.500
Zn 0.500 0.000 0.000

---

Number 1: calculated volume 19.325 A^3/atom. Number 2: calculated volume 24.771 A^3/atom. Number 3: calculated volume 17.398 A^3/atom. Number 4: calculated volume 13.195 A^3/atom. Number 5: calculated volume 45.485 A^3/atom. Number 6: calculated volume 12.339 A^3/atom. Number 7: calculated volume 13.041 A^3/atom. Number 8: calculated volume 16.817 A^3/atom. Number 9: calculated volume 23.933 A^3/atom. Number 10: calculated volume 25.673 A^3/atom. Number 11: calculated volume 20.013 A^3/atom. Number 12: calculated volume 28.301 A^3/atom.